# 1
# Dy3Mg4Pd4 | Alexandria | PBE | relaxed
data_Dy3Mg4Pd4
_chemical_formula_sum 'Dy3 Mg4 Pd4'
_symmetry_space_group_name_H-M 'P 1'
_symmetry_Int_Tables_number 1
_cell_length_a 3.944
_cell_length_b 8.075
_cell_length_c 8.625
_cell_angle_alpha 117.91
_cell_angle_beta 103.22
_cell_angle_gamma 90.00
loop_
_symmetry_equiv_pos_as_xyz
'x,y,z'
loop_
_atom_site_label
_atom_site_fract_x
_atom_site_fract_y
_atom_site_fract_z
_atom_site_occupancy
Mg1 0.328 0.519 0.656 1
Mg2 0.672 0.481 0.344 1
Mg3 0.328 0.136 0.656 1
Mg4 0.672 0.864 0.344 1
Pd1 0.500 0.193 0.000 1
Pd2 0.765 0.265 0.531 1
Pd3 0.235 0.735 0.469 1
Pd4 0.500 0.807 0.000 1
Dy1 0.885 0.885 0.769 1
Dy2 0.115 0.115 0.231 1
Dy3 0.000 0.500 0.000 1
# * energy relative to the elements: -7.179 eV/f.u.
# * spin magnetization: 0.00 μB/atom
# * crystal system: orthorhombic
# * DOS at the Fermi energy: 0.603 states/eV/atom
# * raw total energy: -4.376 eV per atom

# 2
# Tl2AgRu | Alexandria | PBE | relaxed
data_Tl2AgRu
_chemical_formula_sum 'Tl2 Ag1 Ru1'
_symmetry_space_group_name_H-M 'P 1'
_symmetry_Int_Tables_number 1
_cell_length_a 9.389
_cell_length_b 9.389
_cell_length_c 9.389
_cell_angle_alpha 19.82
_cell_angle_beta 19.82
_cell_angle_gamma 19.82
loop_
_symmetry_equiv_pos_as_xyz
'x,y,z'
loop_
_atom_site_label
_atom_site_fract_x
_atom_site_fract_y
_atom_site_fract_z
_atom_site_occupancy
Tl1 0.006 0.006 0.006 1
Tl2 0.494 0.494 0.494 1
Ru1 0.750 0.750 0.750 1
Ag1 0.250 0.250 0.250 1
# * energy relative to the elements: 1.913 eV/f.u.
# * spin magnetization: 0.08 μB/atom
# * crystal system: trigonal
# * polymorph energy (0 for the lowest one): 96 meV/atom
# * DOS at the Fermi energy: 0.646 states/eV/atom
# * raw total energy: -3.737 eV per atom

# 3
# MgBeHg2 | Alexandria | PBE | relaxed
data_MgBeHg2
_chemical_formula_sum 'Mg1 Be1 Hg2'
_symmetry_space_group_name_H-M 'P 1'
_symmetry_Int_Tables_number 1
_cell_length_a 8.990
_cell_length_b 8.990
_cell_length_c 8.990
_cell_angle_alpha 20.78
_cell_angle_beta 20.78
_cell_angle_gamma 20.78
loop_
_symmetry_equiv_pos_as_xyz
'x,y,z'
loop_
_atom_site_label
_atom_site_fract_x
_atom_site_fract_y
_atom_site_fract_z
_atom_site_occupancy
Mg1 0.488 0.488 0.488 1
Be1 0.747 0.747 0.747 1
Hg1 0.016 0.016 0.016 1
Hg2 0.248 0.248 0.248 1
# * energy relative to the elements: 1.047 eV/f.u.
# * spin magnetization: 0.00 μB/atom
# * crystal system: trigonal
# * polymorph energy (0 for the lowest one): 104 meV/atom
# * DOS at the Fermi energy: 0.339 states/eV/atom
# * raw total energy: -1.219 eV per atom

# 4
# Y5Th2 | Alexandria | PBE | relaxed
data_Y5Th2
_chemical_formula_sum 'Y5 Th2'
_symmetry_space_group_name_H-M 'P 1'
_symmetry_Int_Tables_number 1
_cell_length_a 6.197
_cell_length_b 6.196
_cell_length_c 9.469
_cell_angle_alpha 71.09
_cell_angle_beta 122.82
_cell_angle_gamma 131.84
loop_
_symmetry_equiv_pos_as_xyz
'x,y,z'
loop_
_atom_site_label
_atom_site_fract_x
_atom_site_fract_y
_atom_site_fract_z
_atom_site_occupancy
Y1 0.856 0.925 0.281 1
Y2 0.718 0.354 0.573 1
Y3 0.282 0.646 0.427 1
Y4 0.144 0.075 0.719 1
Y5 0.000 0.500 0.000 1
Th1 0.422 0.217 0.139 1
Th2 0.578 0.783 0.861 1
# * energy relative to the elements: 0.278 eV/f.u.
# * spin magnetization: 0.00 μB/atom
# * crystal system: monoclinic
# * DOS at the Fermi energy: 1.615 states/eV/atom
# * raw total energy: -6.697 eV per atom

# 5
# NdYCl6 | Alexandria | PBE | relaxed
data_NdYCl6
_chemical_formula_sum 'Nd1 Y1 Cl6'
_symmetry_space_group_name_H-M 'P 1'
_symmetry_Int_Tables_number 1
_cell_length_a 6.830
_cell_length_b 6.832
_cell_length_c 7.390
_cell_angle_alpha 62.46
_cell_angle_beta 62.47
_cell_angle_gamma 60.00
loop_
_symmetry_equiv_pos_as_xyz
'x,y,z'
loop_
_atom_site_label
_atom_site_fract_x
_atom_site_fract_y
_atom_site_fract_z
_atom_site_occupancy
Nd1 0.000 0.000 0.000 1
Cl1 0.403 0.744 0.746 1
Cl2 0.893 0.597 0.255 1
Cl3 0.107 0.403 0.745 1
Cl4 0.597 0.256 0.254 1
Cl5 0.256 0.893 0.254 1
Cl6 0.744 0.107 0.746 1
Y1 0.500 0.500 0.500 1
# * E_form (uncorrected): -2.243 eV per atom
# * spin magnetization: 0.00 μB/atom
# * crystal system: trigonal
# * polymorph energy (0 for the lowest one): 0 meV/atom
# * DOS at the Fermi energy: 0.000 states/eV/atom
# * raw total energy: -5.032 eV per atom

> Among the records above, which one has the highest DOS at the Fermi energy?

Y5Th2

> The highest DOS at the Fermi energy belongs to which entry?

Y5Th2